1.
Tc2RhC, relaxed, DFT PBE; energy of formation = 0.7644 eV/atom; space group = I-42d (122)
1.0
5.017 0.000 0.000
0.000 5.017 0.000
2.508 2.508 5.050
C Tc Rh
2 4 2
Direct
0.500 0.500 0.000
0.250 0.750 0.500
0.875 0.797 0.750
0.547 0.125 0.250
0.375 0.453 0.750
0.203 0.625 0.250
0.000 0.000 0.000
0.750 0.250 0.500


2.
Tc2TeRhC, relaxed, DFT PBE; space group = P4/mmm (123); raw formation energy = 1504 meV per atom
1.0
5.070 0.000 0.000
0.000 3.719 0.000
0.000 0.000 5.070
C Tc Rh Te
1 2 1 1
Direct
0.000 0.500 0.000
0.000 0.000 0.500
0.500 0.000 0.000
0.000 0.000 0.000
0.500 0.500 0.500


3.
Y2TcRhC, relaxed, DFT PBE; energy of formation = -0.3113 eV/atom; space group = P4/mmm (123)
1.0
4.914 0.000 0.000
0.000 4.914 0.000
0.000 0.000 3.901
Y Tc C Rh
2 1 1 1
Direct
0.000 0.500 0.000
0.500 0.000 0.000
0.000 0.000 0.500
0.000 0.000 0.000
0.500 0.500 0.500


4.
YTcRh2C, relaxed, DFT PBE; energy of formation = -0.2837 eV/atom; space group = P4/mmm (123)
1.0
4.187 0.000 0.000
0.000 4.187 0.000
0.000 0.000 4.213
C Rh Tc Y
1 2 1 1
Direct
0.000 0.000 0.000
0.500 0.000 0.000
0.000 0.500 0.000
0.000 0.000 0.500
0.500 0.500 0.500


5.
ZrTcRh2C, relaxed, DFT PBE; energy of formation = -0.3419 eV/atom; space group = P4/mmm (123)
1.0
4.125 0.000 0.000
0.000 4.125 0.000
0.000 0.000 4.150
Tc Rh Zr C
1 2 1 1
Direct
0.000 0.000 0.500
0.000 0.500 0.000
0.500 0.000 0.000
0.500 0.500 0.500
0.000 0.000 0.000


6.
Te2RhC, relaxed, DFT PBE; space group = R-3m (166); raw formation energy = 825 meV per atom
1.0
-4.331 -0.286 -5.414
-2.741 -4.072 -4.904
-5.846 -2.789 -2.488
Te Rh C
2 1 1
Direct
0.100 0.100 0.100
0.900 0.900 0.900
0.500 0.500 0.500
0.000 0.000 0.000


7.
Te2RhC2, relaxed, DFT PBE; space group = P4/mbm (127); raw formation energy = 1484 meV per atom
1.0
6.995 0.000 0.000
0.000 6.995 0.000
0.000 0.000 3.292
Rh C Te
2 4 4
Direct
0.000 0.000 0.000
0.500 0.500 0.000
0.314 0.814 0.000
0.814 0.686 0.000
0.686 0.186 0.000
0.186 0.314 0.000
0.323 0.177 0.500
0.177 0.677 0.500
0.677 0.823 0.500
0.823 0.323 0.500


8.
Te2RhC2, relaxed, DFT PBE; space group = P4/mbm (127); raw formation energy = 1604 meV per atom
1.0
-3.460 5.547 -3.338
-0.454 -3.984 -6.149
-2.900 -1.209 0.997
C Te Rh
4 4 2
Direct
0.692 0.808 0.500
0.192 0.692 0.500
0.308 0.192 0.500
0.808 0.308 0.500
0.322 0.822 0.000
0.822 0.678 0.000
0.678 0.178 0.000
0.178 0.322 0.000
0.500 0.500 0.000
0.000 0.000 0.000


9.
Te2RhC, relaxed, DFT PBE; space group = I-42d (122); raw formation energy = 756 meV per atom
1.0
5.674 0.000 0.000
0.000 5.674 0.000
2.837 2.837 5.409
C Te Rh
2 4 2
Direct
0.250 0.750 0.500
0.500 0.500 0.000
0.875 0.838 0.750
0.588 0.125 0.250
0.162 0.625 0.250
0.375 0.412 0.750
0.000 0.000 0.000
0.750 0.250 0.500


10.
TeRh2C, relaxed, DFT PBE; space group = I-42d (122); raw formation energy = 226 meV per atom
1.0
-2.507 -2.690 3.482
2.454 -4.182 -1.464
3.925 -2.395 4.659
Te Rh C
2 4 2
Direct
0.000 0.000 0.000
0.750 0.250 0.500
0.516 0.125 0.250
0.234 0.625 0.250
0.875 0.766 0.750
0.375 0.484 0.750
0.250 0.750 0.500
0.500 0.500 0.000


11.
Te2RhC, relaxed, DFT PBE; space group = R-3m (166); raw formation energy = 1266 meV per atom
1.0
2.902 -1.181 7.771
4.173 -3.812 6.185
5.729 -0.878 6.050
Te Rh C
2 1 1
Direct
0.897 0.897 0.897
0.103 0.103 0.103
0.000 0.000 0.000
0.500 0.500 0.500


12.
Te2RhC2, relaxed, DFT PBE; space group = I4/mmm (139); raw formation energy = 1811 meV per atom
1.0
-2.560 -2.045 -1.554
-0.657 -1.599 3.187
-5.890 2.545 2.126
Rh C Te
1 2 2
Direct
0.000 0.000 0.000
0.250 0.750 0.500
0.750 0.250 0.500
0.638 0.638 0.724
0.362 0.362 0.276


no.,magnetic moment (μB per atom)
1,0.00
2,1.06
3,0.00
4,0.00
5,0.00
6,0.00
7,0.00
8,0.00
9,0.00
10,0.00
11,0.00
12,0.00